(1)
Computed, not measured: crystalline CeHoTl at its relaxed geometry at the PBE level of DFT.

Energy above the lowest structure with this stoichiometry, meV per atom: 170.1
ΔE_f, meV/atom: -42
Crystal system: trigonal
Total magnetization, μB per cell: 5.5
VASP energy, eV/atom: -4.3344

Cell lengths 5.1156, 5.1156, 24.0238 Å; angles 90.00, 90.00, 120.00 degrees
Space group R-3m (No. 166, hexagonal axes)
Symmetry-distinct sites (fractional):
Ce  0.0000  0.0000  0.1449 x6
Ho  0.0000  0.0000  0.2883 x6
Tl  0.0000  0.0000  0.4230 x6

***

(2)
Computed, not measured: crystalline Pm4Sm2Tl3Cl2 at its relaxed geometry at the PBE level of DFT.

Crystal system: tetragonal
Total magnetization, μB per cell: 0.0
VASP energy, eV/atom: -4.1538

Cell lengths 5.396, 5.396, 23.367 Å; angles 90.00, 90.00, 90.00 degrees
Space group I4/mmm (No. 139)
Symmetry-distinct sites (fractional):
Pm  0.000  0.500  0.087 x8
Sm  0.000  0.000  0.202 x4
Tl  0.000  0.000  0.336 x4
Tl  0.000  0.000  0.500 x2
Cl  0.000  0.000  0.075 x4

***

(3)
Computed, not measured: crystalline BaSr4H10 at its relaxed geometry at the PBE level of DFT.

Crystal system: trigonal
Total magnetization, μB per cell: 0.0
VASP energy, eV/atom: -3.3316

Cell lengths 4.1947, 4.1947, 51.3556 Å; angles 90.00, 90.00, 120.00 degrees
Space group R-3m (No. 166, hexagonal axes)
Symmetry-distinct sites (fractional):
Ba  0.0000  0.0000  0.0000 x3
Sr  0.0000  0.0000  0.1992 x6
Sr  0.0000  0.0000  0.4026 x6
H  0.0000  0.0000  0.0532 x6
H  0.0000  0.0000  0.1500 x6
H  0.0000  0.0000  0.2482 x6
H  0.0000  0.0000  0.3534 x6
H  0.0000  0.0000  0.4516 x6

***

(4)
Computed, not measured: crystalline VAgS2 at its relaxed geometry at the PBE level of DFT.

Crystal system: tetragonal
Total magnetization, μB per cell: 8.0
VASP energy, eV/atom: -5.5366

Cell lengths 5.624, 5.624, 11.000 Å; angles 90.00, 90.00, 90.00 degrees
Space group I-42d (No. 122)
Symmetry-distinct sites (fractional):
V  0.000  0.000  0.000 x4
Ag  0.000  0.000  0.500 x4
S  0.209  0.250  0.125 x8

***

(5)
Computed, not measured: crystalline Ag2AsS2 at its relaxed geometry at the PBE level of DFT.

Energy above the lowest structure with this stoichiometry, meV per atom: 156.7
Crystal system: monoclinic
Total magnetization, μB per cell: 0.0
VASP energy, eV/atom: -3.6571

Cell lengths 6.232, 4.755, 7.224 Å; angles 90.00, 109.82, 90.00 degrees
Space group P2_1/c (No. 14)
Symmetry-distinct sites (fractional):
Ag  0.151  0.133  0.396 x4
As  0.500  0.000  0.000 x2
S  0.271  0.734  0.690 x4

***

(6)
Computed, not measured: crystalline PuBeAu4 at its relaxed geometry at the PBE level of DFT.

ΔE_f, meV/atom: -281
Crystal system: monoclinic
Total magnetization, μB per cell: 22.9
VASP energy, eV/atom: -5.4757

Cell lengths 10.376, 6.109, 7.815 Å; angles 90.00, 111.99, 90.00 degrees
Space group C2/m (No. 12)
Symmetry-distinct sites (fractional):
Pu  0.204  0.000  0.308 x4
Be  0.043  0.500  0.299 x4
Au  0.000  0.244  0.500 x4
Au  0.098  0.245  0.911 x8
Au  0.250  0.000  0.733 x4

***

(7)
Computed, not measured: crystalline KTh2NbO8 at its relaxed geometry at the PBE level of DFT.

Crystal system: triclinic
Total magnetization, μB per cell: 0.0
VASP energy, eV/atom: -8.1940

Cell lengths 4.614, 4.975, 8.254 Å; angles 93.60, 92.81, 92.76 degrees
Space group P-1 (No. 2)
Symmetry-distinct sites (fractional):
K  0.000  0.000  0.000 x1
Th  0.427  0.467  0.715 x2
Nb  0.000  0.000  0.500 x1
O  0.109  0.713  0.321 x2
O  0.221  0.867  0.694 x2
O  0.327  0.265  0.466 x2
O  0.468  0.350  0.002 x2

***

(8)
Computed, not measured: crystalline AcAlGaCu2 at its relaxed geometry at the PBE level of DFT.

ΔE_f, meV/atom: -358
Crystal system: tetragonal
Total magnetization, μB per cell: 0.0
VASP energy, eV/atom: -4.1724

Cell lengths 4.225, 4.225, 11.135 Å; angles 90.00, 90.00, 90.00 degrees
Space group I-4m2 (No. 119)
Symmetry-distinct sites (fractional):
Ac  0.000  0.000  0.000 x2
Al  0.000  0.500  0.250 x2
Ga  0.000  0.500  0.750 x2
Cu  0.000  0.000  0.380 x4

***

(9)
Computed, not measured: crystalline SrLiAs2Br at its relaxed geometry at the PBE level of DFT.

Energy above the lowest structure with this stoichiometry, meV per atom: 601.4
Crystal system: tetragonal
Total magnetization, μB per cell: 2.0
VASP energy, eV/atom: -2.8425

Cell lengths 5.941, 5.941, 5.902 Å; angles 90.00, 90.00, 90.00 degrees
Space group P4/mmm (No. 123)
Symmetry-distinct sites (fractional):
Sr  0.000  0.000  0.000 x1
Li  0.500  0.500  0.500 x1
As  0.000  0.500  0.000 x2
Br  0.000  0.000  0.500 x1

***

(10)
Computed, not measured: crystalline NaHoHgPd at its relaxed geometry at the PBE level of DFT.

ΔE_f, meV/atom: -384
Crystal system: cubic
Total magnetization, μB per cell: 0.0
VASP energy, eV/atom: -3.2318

Cell lengths 7.066, 7.066, 7.066 Å; angles 90.00, 90.00, 90.00 degrees
Space group F-43m (No. 216)
Symmetry-distinct sites (fractional):
Na  0.000  0.000  0.000 x4
Ho  0.000  0.000  0.500 x4
Hg  0.250  0.250  0.250 x4
Pd  0.250  0.250  0.750 x4

***

(11)
Computed, not measured: crystalline CePr2Mg at its relaxed geometry at the PBE level of DFT.

Energy above the lowest structure with this stoichiometry, meV per atom: 53.0
ΔE_f, meV/atom: 51
Crystal system: tetragonal
Total magnetization, μB per cell: 0.6
VASP energy, eV/atom: -4.2208

Cell lengths 5.790, 5.790, 3.688 Å; angles 90.00, 90.00, 90.00 degrees
Space group P4/mmm (No. 123)
Symmetry-distinct sites (fractional):
Ce  0.000  0.000  0.000 x1
Pr  0.000  0.500  0.500 x2
Mg  0.500  0.500  0.000 x1

***

(12)
Computed, not measured: crystalline CaZn2Ga4Ag at its relaxed geometry at the PBE level of DFT.

ΔE_f, meV/atom: -134
Crystal system: trigonal
Total magnetization, μB per cell: 0.0
VASP energy, eV/atom: -2.5722

Cell lengths 4.4442, 4.4442, 27.5154 Å; angles 90.00, 90.00, 120.00 degrees
Space group R-3m (No. 166, hexagonal axes)
Symmetry-distinct sites (fractional):
Ca  0.0000  0.0000  0.0000 x3
Zn  0.0000  0.0000  0.2603 x6
Ga  0.0000  0.0000  0.1276 x6
Ga  0.0000  0.0000  0.3992 x6
Ag  0.0000  0.0000  0.5000 x3